VASP calculation (PBE-GGA) on crystalline LaTbNdHo at its relaxed geometry.

Unit cell a=5.7773 b=5.7773 c=5.7773 alpha=60.00 beta=60.00 gamma=60.00
With the nearest neighbours (Å) after each atom.
Positions (direct):
Nd 0.7500 0.7500 0.7500  4 Ho 3.54, 4 Tb 3.54
La 0.2500 0.2500 0.2500  4 Tb 3.54, 4 Ho 3.54
Ho 0.5000 0.5000 0.5000  4 La 3.54, 4 Nd 3.54
Tb 0.0000 0.0000 0.0000  4 Nd 3.54, 4 La 3.54

Summary:
Formation energy: 0.104 eV/atom
Energy: -4.622 eV per atom
M_tot: 0.000 μB per cell